--- w ---
Computed, not measured: an optimized crystal structure of LiTaAlNi at the GGA-PBE level of DFT.

Geometry as POSCAR:
```
LiTaAlNi
1.0
-3.7344 -2.0005 0.1114
-3.0069 0.9668 -2.8256
-1.0135 -2.7666 -3.0462
Li Al Ta Ni
1 1 1 1
direct
0.2500 0.2500 0.2500
0.0000 0.0000 0.0000
0.5000 0.5000 0.5000
0.7500 0.7500 0.7500
```

Computed properties:
Symmetry: No. 216
Crystal system: cubic
V, Å³/cell: 53.8


--- x ---
Computed, not measured: an optimized crystal structure of LiTaAlNi at the GGA-PBE level of DFT.

Geometry as POSCAR:
```
LiTaAlNi
1.0
0.0000 3.0323 3.0323
3.0323 0.0000 3.0323
3.0323 3.0323 0.0000
Al Ta Ni Li
1 1 1 1
direct
0.0000 0.0000 0.0000
0.2500 0.2500 0.2500
0.7500 0.7500 0.7500
0.5000 0.5000 0.5000
```

Computed properties:
Symmetry: No. 216
Crystal system: cubic
V, Å³/cell: 55.8


If we sort the structures by their calculated energies, the order from most to least stable is w, x.


--- w ---
Computed, not measured: an optimized crystal structure of LiAlTeOs at the GGA-PBE level of DFT.

Geometry as POSCAR:
```
LiAlTeOs
1.0
-0.6968 -4.2075 1.4186
0.7592 -1.0776 4.2969
-3.4509 -0.9077 2.7327
Al Li Os Te
1 1 1 1
direct
0.0000 0.0000 0.0000
0.7500 0.7500 0.7500
0.2500 0.2500 0.2500
0.5000 0.5000 0.5000
```

Computed properties:
Symmetry: No. 216
Crystal system: cubic
V, Å³/cell: 64.2


--- x ---
Computed, not measured: an optimized crystal structure of LiAlTeOs at the GGA-PBE level of DFT.

Geometry as POSCAR:
```
LiAlTeOs
1.0
0.0000 3.2054 3.2054
3.2054 0.0000 3.2054
3.2054 3.2054 0.0000
Li Te Os Al
1 1 1 1
direct
0.7500 0.7500 0.7500
0.5000 0.5000 0.5000
0.0000 0.0000 0.0000
0.2500 0.2500 0.2500
```

Computed properties:
Symmetry: No. 216
Crystal system: cubic
V, Å³/cell: 65.9


If we sort the structures by their calculated energies, the order from most to least stable is w, x.


--- w ---
Computed, not measured: an optimized crystal structure of LiAlReTc at the GGA-PBE level of DFT.

Geometry as POSCAR:
```
LiAlReTc
1.0
-3.0339 -1.5264 2.5641
-2.2120 2.6483 2.4905
-4.0953 0.7914 -0.8433
Re Li Tc Al
1 1 1 1
direct
0.5000 0.5000 0.5000
0.7500 0.7500 0.7500
0.2500 0.2500 0.2500
0.0000 0.0000 0.0000
```

Computed properties:
Symmetry: No. 216
Crystal system: cubic
V, Å³/cell: 54.5


--- x ---
Computed, not measured: an optimized crystal structure of LiAlReTc at the GGA-PBE level of DFT.

Geometry as POSCAR:
```
LiAlReTc
1.0
3.4348 2.1079 1.3518
-0.4509 3.5916 2.2282
0.9595 0.0671 4.1404
Re Tc Li Al
1 1 1 1
direct
0.5000 0.5000 0.5000
0.0000 0.0000 0.0000
0.7500 0.7500 0.7500
0.2500 0.2500 0.2500
```

Computed properties:
Symmetry: No. 216
Crystal system: cubic
V, Å³/cell: 54.3


If we sort the structures by their calculated energies, the order from most to least stable is w, x.


--- w ---
Computed, not measured: an optimized crystal structure of Lu3Al2 at the GGA-PBE level of DFT.

Geometry as POSCAR:
```
Lu3Al2
1.0
3.0671 -1.6648 4.9423
-3.4595 4.9622 0.1152
-4.6882 -7.0551 4.2361
Lu Al
6 4
direct
0.9224 0.4224 0.2500
0.2500 0.0776 0.2500
0.0776 0.5776 0.7500
0.5776 0.7500 0.2500
0.4224 0.2500 0.7500
0.7500 0.9224 0.7500
0.1652 0.8348 0.5044
0.8348 0.1652 0.4956
0.6652 0.3348 0.0044
0.3348 0.6652 0.9956
```

Computed properties:
Symmetry: No. 167
Crystal system: trigonal
V, Å³/cell: 279.1


--- x ---
Computed, not measured: an optimized crystal structure of Lu3Al2 at the GGA-PBE level of DFT.

Geometry as POSCAR:
```
Lu3Al2
1.0
-1.8773 7.2649 2.9053
-4.4663 -3.4481 5.7364
5.9484 -0.2540 4.4787
Al Lu
8 12
direct
0.3801 0.6199 0.6957
0.1199 0.1199 0.8043
0.8801 0.8801 0.1957
0.6199 0.3801 0.6957
0.8801 0.8801 0.8043
0.3801 0.6199 0.3043
0.6199 0.3801 0.3043
0.1199 0.1199 0.1957
0.6489 0.6489 0.0000
0.8511 0.1489 0.5000
0.5000 0.0000 0.2500
0.5000 0.0000 0.7500
0.2965 0.2965 0.5000
0.1489 0.8511 0.5000
0.7035 0.7035 0.5000
0.0000 0.5000 0.2500
0.0000 0.5000 0.7500
0.7965 0.2035 0.0000
0.2035 0.7965 0.0000
0.3511 0.3511 0.0000
```

Computed properties:
Symmetry: No. 136
Crystal system: tetragonal
V, Å³/cell: 482.4


If we sort the structures by their calculated energies, the order from most to least stable is x, w.


--- w ---
Computed, not measured: an optimized crystal structure of Lu2MgAl at the GGA-PBE level of DFT.

Geometry as POSCAR:
```
Lu2MgAl
1.0
1.5918 0.4372 -4.5757
-3.0523 -3.5990 1.1799
-7.5324 5.7080 -2.0750
Mg Lu Al
2 4 2
direct
0.0000 0.0000 0.2500
0.0000 0.0000 0.7500
0.3333 0.6667 0.0868
0.6667 0.3333 0.9132
0.3333 0.6667 0.4132
0.6667 0.3333 0.5868
0.3333 0.6667 0.7500
0.6667 0.3333 0.2500
```

Computed properties:
Symmetry: No. 194
Crystal system: hexagonal
V, Å³/cell: 198.3


--- x ---
Computed, not measured: an optimized crystal structure of Lu2MgAl at the GGA-PBE level of DFT.

Geometry as POSCAR:
```
Lu2MgAl
1.0
0.0000 3.6394 3.6394
3.6394 0.0000 3.6394
3.6394 3.6394 0.0000
Mg Al Lu
1 1 2
direct
0.2500 0.2500 0.2500
0.5000 0.5000 0.5000
0.7500 0.7500 0.7500
0.0000 0.0000 0.0000
```

Computed properties:
Symmetry: No. 216
Crystal system: cubic
V, Å³/cell: 96.4


If we sort the structures by their calculated energies, the order from most to least stable is w, x.


--- w ---
Computed, not measured: an optimized crystal structure of Lu2MgAl at the GGA-PBE level of DFT.

Geometry as POSCAR:
```
Lu2MgAl
1.0
1.9148 3.0330 3.4914
-4.9156 0.0585 -0.9431
-1.4453 -7.2425 7.0841
Al Lu Mg
2 4 2
direct
0.0000 0.0000 0.0000
0.0000 0.0000 0.5000
0.3333 0.6667 0.5832
0.6667 0.3333 0.0832
0.3333 0.6667 0.9168
0.6667 0.3333 0.4168
0.3333 0.6667 0.2500
0.6667 0.3333 0.7500
```

Computed properties:
Symmetry: No. 194
Crystal system: hexagonal
V, Å³/cell: 222.1


--- x ---
Computed, not measured: an optimized crystal structure of Lu2MgAl at the GGA-PBE level of DFT.

Geometry as POSCAR:
```
Lu2MgAl
1.0
2.5892 -4.4846 0.0000
2.5892 4.4846 0.0000
0.0000 0.0000 9.3093
Lu Mg Al
4 2 2
direct
0.3333 0.6667 0.5813
0.3333 0.6667 0.9187
0.6667 0.3333 0.4187
0.6667 0.3333 0.0813
0.0000 0.0000 0.5000
0.0000 0.0000 0.0000
0.3333 0.6667 0.2500
0.6667 0.3333 0.7500
```

Computed properties:
Symmetry: No. 194
Crystal system: hexagonal
V, Å³/cell: 216.2


If we sort the structures by their calculated energies, the order from most to least stable is w, x.